{"formula": "La2Nd2CCl2F3", "functional": "PBE", "state": "optimized geometry", "total_energy_ev_per_atom": -6.07, "total_magnetization_mub_per_fu": 0.315, "lattice_angstrom": [[7.9016, -1.8508, 0.0000], [7.9016, 1.8508, 0.0000], [-2.0008, 0.0000, 6.7663]], "species": ["La", "La", "Nd", "Nd", "C", "Cl", "Cl", "F", "F", "F"], "fractional_positions": [[0.1682, 0.1682, 0.1687], [0.8318, 0.8318, 0.8313], [0.4765, 0.4765, 0.2270], [0.5235, 0.5235, 0.7730], [0.0000, 0.0000, 0.0000], [0.3452, 0.3452, 0.5216], [0.6548, 0.6548, 0.4784], [0.0000, 0.0000, 0.5000], [0.3160, 0.3160, 0.0683], [0.6840, 0.6840, 0.9317]]}